Here is a relaxed structure of Ta2CoP from the Alexandria database. Energies are from GGA-PBEsol.

Structure (POSCAR):
```
Ta2CoP
1.0
3.4819 0.0000 0.0000
0.0000 3.4207 0.0000
0.0000 0.0000 9.4031
Ta Co P
4 2 2
Direct
0.0000 0.0000 0.0000
0.0000 0.5000 0.5000
0.5000 0.0000 0.3085
0.5000 0.5000 0.8085
0.0000 0.0000 0.7255
0.0000 0.5000 0.2255
0.5000 0.0000 0.5856
0.5000 0.5000 0.0856
```



Here is a relaxed structure of K3CdO from the Alexandria database. Energies are from GGA-PBEsol.

Structure (POSCAR):
```
K3CdO
1.0
5.3563 0.0000 0.0000
0.0000 5.3563 0.0000
0.0000 0.0000 5.3563
K Cd O
3 1 1
Direct
0.0000 0.0000 0.5000
0.0000 0.5000 0.0000
0.5000 0.0000 0.0000
0.5000 0.5000 0.5000
0.0000 0.0000 0.0000
```



Here is a relaxed structure of Y2ZnNi2 from the Alexandria database. Energies are from GGA-PBEsol.

Structure (POSCAR):
```
Y2ZnNi2
1.0
5.1679 0.0000 0.0000
0.0000 5.1679 0.0000
0.0000 0.0000 7.1840
Y Zn Ni
4 2 4
Direct
0.0000 0.5000 0.2500
0.0000 0.5000 0.7500
0.5000 0.0000 0.2500
0.5000 0.0000 0.7500
0.0000 0.0000 0.0000
0.5000 0.5000 0.5000
0.0000 0.0000 0.3426
0.0000 0.0000 0.6574
0.5000 0.5000 0.1574
0.5000 0.5000 0.8426
```



| no. | VASP energy (eV/atom) | density of states at the Fermi level (states/eV per cell) | theoretical density (g/cm3) |
| --- | --- | --- | --- |
| 1 | -10.331 | 7.956 | 13.4 |
| 2 | -2.479 | 2.816 | 2.7 |
| 3 | -5.747 | 7.261 | 6.2 |